# Tb12Dy2Sc | the Alexandria database | PBE | optimized geometry
# Formation enthalpy at 0 K in meV per atom: 352
data_Tb12Dy2Sc
_chemical_formula_sum 'Tb24 Dy4 Sc2'
_cell_length_a 6.413
_cell_length_b 6.413
_cell_length_c 24.622
_cell_angle_alpha 90.00
_cell_angle_beta 90.00
_cell_angle_gamma 90.00
_space_group_name_H-M_alt 'P 4/n b m'
_space_group_IT_number 125
loop_
_space_group_symop_operation_xyz
'x,y,z'
'-x,-y,-z'
'-y+1/2,x,z'
'y+1/2,-x,-z'
'-x+1/2,-y+1/2,z'
'x+1/2,y+1/2,-z'
'y,-x+1/2,z'
'-y,x+1/2,-z'
'x,-y+1/2,-z'
'-x,y+1/2,z'
'-y+1/2,-x+1/2,-z'
'y+1/2,x+1/2,z'
'-x+1/2,y,-z'
'x+1/2,-y,z'
'y,x,-z'
'-y,-x,z'
loop_
_atom_site_label
_atom_site_fract_x
_atom_site_fract_y
_atom_site_fract_z
Tb1 0.063 0.563 0.110
Tb2 0.082 0.582 0.438
Tb3 0.250 0.250 0.212
Tb4 0.250 0.250 0.337
Dy1 0.250 0.750 0.270
Sc1 0.250 0.750 0.000